# 1
A crystal of HfSi3Sb relaxed with PBEsol. Source: Alexandria, functional meta-GGA SCAN.

The value obtained for the energy relative to the elements, uncorrected is 8.25 eV per formula unit. Its space group is Pm-3m.

Unit cell a=4.930 b=4.930 c=4.930 alpha=90.00 beta=90.00 gamma=90.00
Element x y z (fractional)
1 Sb 0.000 0.000 0.000
2 Si 0.000 0.000 0.500
3 Si 0.000 0.500 0.000
4 Si 0.500 0.000 0.000
5 Hf 0.500 0.500 0.500

=====

# 2
A crystal of HfSiSb3 relaxed with PBEsol. Source: Alexandria, functional meta-GGA SCAN.

The value obtained for the energy relative to the elements, uncorrected is 3.96 eV per formula unit. Its space group is Pm-3m.

Unit cell a=5.394 b=5.394 c=5.394 alpha=90.00 beta=90.00 gamma=90.00
Element x y z (fractional)
1 Sb 0.000 0.000 0.500
2 Sb 0.000 0.500 0.000
3 Hf 0.000 0.000 0.000
4 Sb 0.500 0.000 0.000
5 Si 0.500 0.500 0.500

=====

# 3
A crystal of Sr3HfSb relaxed with PBEsol. Source: Alexandria, functional meta-GGA SCAN.

The value obtained for the energy relative to the elements, uncorrected is 2.01 eV per formula unit. Its space group is Pm-3m. The distance to the lowest polymorph of the same formula comes out at 0 meV per atom.

Unit cell a=6.131 b=6.131 c=6.131 alpha=90.00 beta=90.00 gamma=90.00
Element x y z (fractional)
1 Sr 0.000 0.000 0.500
2 Hf 0.500 0.500 0.500
3 Sr 0.500 0.000 0.000
4 Sb 0.000 0.000 0.000
5 Sr 0.000 0.500 0.000

=====

Number 1: electronic total energy -1.7894 Ry/atom, total moment 0.00 μB per cell. Number 2: electronic total energy -2.6535 Ry/atom, total moment 0.00 μB per cell. Number 3: electronic total energy -2.4218 Ry/atom, total moment 4.85 μB per cell.